No. 1
# NaInAgPt PBE-GGA optimized geometry
data_NaInAgPt
_cell_length_a 6.689
_cell_length_b 6.689
_cell_length_c 6.689
_cell_angle_alpha 90.00
_cell_angle_beta 90.00
_cell_angle_gamma 90.00
_symmetry_space_group_name_H-M 'F -4 3 m'
_symmetry_Int_Tables_number 216
_symmetry_space_group_name_Hall 'F -4 2 3'
loop_
_atom_site_label
_atom_site_type_symbol
_atom_site_fract_x
_atom_site_fract_y
_atom_site_fract_z
Na1 Na 0.000 0.000 0.000
In1 In 0.250 0.250 0.750
Ag1 Ag 0.250 0.250 0.250
Pt1 Pt 0.000 0.000 0.500
# - Calculated formation energy: -214 meV/atom
# - VASP energy: -3.45 eV/atom
# - Total magnetization: 0.0 Bohr magnetons per cell
# - N(E_F): 0.298 states/eV/atom

***

No. 2
# LaCuBr2 PBE-GGA optimized geometry
data_LaCuBr2
_cell_length_a 4.585
_cell_length_b 4.585
_cell_length_c 9.352
_cell_angle_alpha 90.00
_cell_angle_beta 90.00
_cell_angle_gamma 90.00
_symmetry_space_group_name_H-M 'I -4 m 2'
_symmetry_Int_Tables_number 119
_symmetry_space_group_name_Hall 'I -4 -2'
loop_
_atom_site_label
_atom_site_type_symbol
_atom_site_fract_x
_atom_site_fract_y
_atom_site_fract_z
La1 La 0.000 0.000 0.000
Cu1 Cu 0.000 0.500 0.250
Br1 Br 0.000 0.000 0.500
Br2 Br 0.000 0.500 0.750
# - Raw formation energy: -0.820 eV/atom
# - VASP energy: -3.91 eV/atom
# - Total magnetization: 0.0 Bohr magnetons per cell
# - N(E_F): 0.062 states/eV/atom

***

No. 3
# PmDy2Cd2In2 PBE-GGA optimized geometry
data_PmDy2Cd2In2
_cell_length_a 4.9593
_cell_length_b 4.9593
_cell_length_c 27.0425
_cell_angle_alpha 90.00
_cell_angle_beta 90.00
_cell_angle_gamma 120.00
_symmetry_space_group_name_H-M 'R -3 m'
_symmetry_Int_Tables_number 166
_symmetry_space_group_name_Hall '-R 3 2"'
loop_
_atom_site_label
_atom_site_type_symbol
_atom_site_fract_x
_atom_site_fract_y
_atom_site_fract_z
Pm1 Pm 0.0000 0.0000 0.0000
Dy1 Dy 0.0000 0.0000 0.1288
Cd1 Cd 0.0000 0.0000 0.4015
In1 In 0.0000 0.0000 0.2581
# - Calculated formation energy: -269 meV/atom
# - VASP energy: -3.31 eV/atom
# - Total magnetization: 0.0 Bohr magnetons per cell
# - N(E_F): 0.572 states/eV/atom

***

No. 4
# YTaVGe2 PBE-GGA optimized geometry
data_YTaVGe2
_cell_length_a 4.982
_cell_length_b 4.982
_cell_length_c 5.314
_cell_angle_alpha 90.00
_cell_angle_beta 90.00
_cell_angle_gamma 90.00
_symmetry_space_group_name_H-M 'P 4/m m m'
_symmetry_Int_Tables_number 123
_symmetry_space_group_name_Hall '-P 4 2'
loop_
_atom_site_label
_atom_site_type_symbol
_atom_site_fract_x
_atom_site_fract_y
_atom_site_fract_z
Y1 Y 0.000 0.000 0.000
Ta1 Ta 0.000 0.000 0.500
V1 V 0.500 0.500 0.000
Ge1 Ge 0.000 0.500 0.500
# - Calculated formation energy: 1142 meV/atom
# - VASP energy: -6.19 eV/atom
# - Total magnetization: 0.4 Bohr magnetons per cell
# - N(E_F): 1.417 states/eV/atom

***

No. 5
# InGeC2 PBE-GGA optimized geometry
data_InGeC2
_cell_length_a 5.960
_cell_length_b 5.960
_cell_length_c 5.960
_cell_angle_alpha 90.00
_cell_angle_beta 90.00
_cell_angle_gamma 90.00
_symmetry_space_group_name_H-M 'F m -3 m'
_symmetry_Int_Tables_number 225
_symmetry_space_group_name_Hall '-F 4 2 3'
loop_
_atom_site_label
_atom_site_type_symbol
_atom_site_fract_x
_atom_site_fract_y
_atom_site_fract_z
In1 In 0.000 0.000 0.000
Ge1 Ge 0.000 0.000 0.500
C1 C 0.250 0.250 0.250
# - Calculated formation energy: 2147 meV/atom
# - VASP energy: -4.30 eV/atom
# - Total magnetization: 0.0 Bohr magnetons per cell
# - N(E_F): 0.504 states/eV/atom

***

No. 6
# CsBa2Cd2 PBE-GGA optimized geometry
data_CsBa2Cd2
_cell_length_a 10.142
_cell_length_b 10.142
_cell_length_c 4.640
_cell_angle_alpha 90.00
_cell_angle_beta 90.00
_cell_angle_gamma 90.00
_symmetry_space_group_name_H-M 'P 4/m b m'
_symmetry_Int_Tables_number 127
_symmetry_space_group_name_Hall '-P 4 2ab'
loop_
_atom_site_label
_atom_site_type_symbol
_atom_site_fract_x
_atom_site_fract_y
_atom_site_fract_z
Cs1 Cs 0.000 0.000 0.000
Ba1 Ba 0.149 0.351 0.500
Cd1 Cd 0.131 0.631 0.000
# - Calculated formation energy: -123 meV/atom
# - VASP energy: -1.43 eV/atom
# - Total magnetization: 0.0 Bohr magnetons per cell
# - N(E_F): 0.859 states/eV/atom

***

The lowest N(E_F) belongs to which entry? LaCuBr2

***

What is the total magnetization in the first record? 0.0 Bohr magnetons per cell